1.
VASP calculation (GGA-PBE) on a relaxed structure of TbEr4S6.

Summary:
* uncorrected formation energy: -2.026 eV/atom
* magnetic moment: 0.0000 μB/atom

Structure (POSCAR):
```
TbEr4S6
1.0
-0.178 -1.046 3.653
-0.706 -5.539 -3.601
19.500 -2.617 0.202
Tb Er S
2 8 12
direct
0.652 0.303 0.250
0.348 0.697 0.750
0.861 0.723 0.540
0.408 0.817 0.127
0.139 0.277 0.460
0.592 0.183 0.873
0.861 0.723 0.960
0.139 0.277 0.040
0.592 0.183 0.627
0.408 0.817 0.373
0.500 0.000 0.000
0.500 0.000 0.500
0.050 0.099 0.334
0.950 0.901 0.666
0.950 0.901 0.834
0.050 0.099 0.166
0.769 0.539 0.411
0.231 0.461 0.589
0.231 0.461 0.911
0.769 0.539 0.089
0.309 0.618 0.250
0.691 0.382 0.750
```

=====

2.
VASP calculation (GGA-PBE) on a relaxed structure of ScSnTe3.

Summary:
* uncorrected formation energy: -0.675 eV/atom
* magnetic moment: 0.0000 μB/atom

Structure (POSCAR):
```
ScSnTe3
1.0
-2.648 3.100 0.728
-4.934 -4.899 2.919
9.445 6.524 6.575
Sc Sn Te
2 2 6
direct
0.250 0.099 0.167
0.750 0.901 0.833
0.250 0.363 0.797
0.750 0.637 0.203
0.250 0.239 0.999
0.750 0.761 0.001
0.250 0.975 0.339
0.750 0.025 0.661
0.250 0.586 0.675
0.750 0.414 0.325
```

=====

3.
VASP calculation (GGA-PBE) on a relaxed structure of AcLa2SmHo.

Summary:
* final energy: -4.322 eV per atom
* magnetic moment: 0.0000 μB/atom

Structure (POSCAR):
```
AcLa2SmHo
1.0
-4.152 -6.075 1.771
-1.590 -1.263 -8.062
5.785 -2.905 3.601
Ac La Sm Ho
2 4 2 2
direct
0.250 0.759 0.518
0.750 0.241 0.482
0.500 0.299 0.000
0.000 0.701 0.000
0.500 0.701 0.000
0.000 0.299 0.000
0.250 0.056 0.113
0.750 0.944 0.887
0.750 0.695 0.390
0.250 0.305 0.610
```

=====

4.
VASP calculation (GGA-PBE) on a relaxed structure of BeZnIn2.

Summary:
* final energy: -2.311 eV per atom
* magnetic moment: 0.0000 μB/atom

Structure (POSCAR):
```
BeZnIn2
1.0
8.813 0.060 0.035
8.201 3.228 0.035
8.201 1.585 2.813
Be Zn In
1 1 2
direct
0.758 0.758 0.758
0.485 0.485 0.485
0.014 0.014 0.014
0.242 0.242 0.242
```

=====

5.
VASP calculation (GGA-PBE) on a relaxed structure of Ba2YEr3O8.

Summary:
* uncorrected formation energy: -3.177 eV/atom
* magnetic moment: 0.0000 μB/atom

Structure (POSCAR):
```
Ba2YEr3O8
1.0
-4.969 -4.833 0.487
1.652 -6.517 1.755
-1.870 -2.411 6.560
Ba Y Er O
2 1 3 8
direct
0.122 0.122 0.633
0.500 0.500 0.500
0.883 0.883 0.350
0.496 0.008 0.000
0.008 0.496 0.000
0.496 0.496 0.000
0.269 0.269 0.192
0.742 0.742 0.773
0.249 0.249 0.813
0.689 0.249 0.813
0.249 0.689 0.813
0.762 0.264 0.212
0.264 0.762 0.212
0.762 0.762 0.212
```

=====

6.
VASP calculation (GGA-PBE) on a relaxed structure of La2LuBr.

Summary:
* uncorrected formation energy: -0.493 eV/atom
* magnetic moment: 0.0010 μB/atom

Structure (POSCAR):
```
La2LuBr
1.0
-2.580 -0.068 -2.557
-1.134 -3.225 1.229
-6.123 4.461 6.058
Lu Br La
1 1 2
direct
0.500 0.500 0.000
0.500 0.500 0.500
0.000 0.000 0.734
0.000 0.000 0.266
```

=====

7.
VASP calculation (GGA-PBE) on a relaxed structure of Pm5SmAu6.

Summary:
* final energy: -4.798 eV per atom
* magnetic moment: 0.0000 μB/atom

Structure (POSCAR):
```
Pm5SmAu6
1.0
-4.814 0.190 2.060
0.758 -6.876 2.408
5.455 2.598 5.700
Au Sm Pm
6 1 5
direct
0.834 0.751 0.668
0.834 0.249 0.668
0.500 0.248 0.000
0.500 0.752 0.000
0.166 0.751 0.332
0.166 0.249 0.332
0.000 0.000 0.000
0.667 0.500 0.334
0.333 0.000 0.667
0.000 0.500 0.000
0.667 0.000 0.333
0.333 0.500 0.666
```

=====

8.
VASP calculation (GGA-PBE) on a relaxed structure of Sm4Dy3Ho8.

Summary:
* final energy: -4.239 eV per atom
* magnetic moment: 0.0001 μB/atom

Structure (POSCAR):
```
Sm4Dy3Ho8
1.0
6.727 -0.098 -0.141
-3.225 8.598 1.153
-3.225 -1.903 8.463
Sm Dy Ho
4 3 8
direct
0.500 0.000 0.000
0.000 0.500 0.000
0.000 0.000 0.000
0.000 0.000 0.500
0.500 0.500 0.000
0.500 0.000 0.500
0.500 0.500 0.500
0.526 0.267 0.267
0.000 0.639 0.361
0.006 0.269 0.269
0.500 0.745 0.255
0.500 0.255 0.745
0.994 0.731 0.731
0.000 0.361 0.639
0.474 0.733 0.733
```

=====

9.
VASP calculation (GGA-PBE) on a relaxed structure of MnNiBr2.

Summary:
* uncorrected formation energy: -0.199 eV/atom
* magnetic moment: 1.2556 μB/atom

Structure (POSCAR):
```
MnNiBr2
1.0
-1.904 1.109 2.978
-3.075 -1.277 -1.491
0.534 -6.591 2.797
Br Mn Ni
2 1 1
direct
0.000 0.830 0.883
0.500 0.247 0.361
0.000 0.459 0.589
0.500 0.964 0.668
```

=====

10.
VASP calculation (GGA-PBE) on a relaxed structure of La3Yb.

Summary:
* final energy: -4.028 eV per atom
* magnetic moment: 0.0000 μB/atom

Structure (POSCAR):
```
La3Yb
1.0
-3.228 2.177 -3.539
3.245 -1.478 -3.869
-2.634 -4.961 3.263
Yb La
1 3
direct
0.000 0.000 0.000
0.250 0.750 0.500
0.750 0.250 0.500
0.500 0.500 0.000
```

=====

11.
VASP calculation (GGA-PBE) on a relaxed structure of CuSi2Ni.

Summary:
* uncorrected formation energy: -0.018 eV/atom
* magnetic moment: 0.0000 μB/atom

Structure (POSCAR):
```
CuSi2Ni
1.0
4.450 0.021 0.000
1.393 4.226 0.000
-2.921 -2.123 2.599
Cu Ni Si
1 1 2
direct
0.250 0.750 0.500
0.750 0.250 0.500
0.000 0.000 0.000
0.500 0.500 0.000
```

=====

12.
VASP calculation (GGA-PBE) on a relaxed structure of La2ReAg.

Summary:
* final energy: -6.039 eV per atom
* magnetic moment: 0.0000 μB/atom

Structure (POSCAR):
```
La2ReAg
1.0
-5.129 -2.498 2.646
-0.477 -6.224 0.768
3.265 5.226 1.260
Re Ag La
1 1 2
direct
0.491 0.491 0.000
0.294 0.794 0.500
0.008 0.008 0.000
0.707 0.207 0.500
```